Entry 1:
BeAlSb2: optimized geometry, GGA-PBE.

a = 3.509 Å, b = 3.509 Å, c = 6.698 Å
α = 90.00°, β = 90.00°, γ = 90.00°
Positions (direct):
Sb: 0.000 0.000 0.971
Sb: 0.000 0.000 0.529
Al: 0.500 0.500 0.250
Be: 0.500 0.500 0.750


Entry 2:
TcNiP: optimized geometry, GGA-PBE.

a = 2.804 Å, b = 2.804 Å, c = 5.648 Å
α = 90.00°, β = 90.00°, γ = 120.00°
Positions (direct):
Tc: 0.333 0.667 0.644
Ni: 0.000 0.000 0.028
P: 0.667 0.333 0.328

E_form, eV per atom: -0.10


Entry 3:
CaZnC2: optimized geometry, GGA-PBE.

a = 4.124 Å, b = 4.124 Å, c = 7.341 Å
α = 73.69°, β = 73.69°, γ = 90.00°
Positions (direct):
C: 0.875 0.125 0.250
C: 0.875 0.625 0.250
C: 0.375 0.125 0.750
C: 0.875 0.125 0.750
Zn: 0.000 0.000 0.000
Zn: 0.750 0.250 0.500
Ca: 0.500 0.500 0.000
Ca: 0.250 0.750 0.500

E_form, eV per atom: 1.10


Entry 4:
HgSbSe2: optimized geometry, GGA-PBE.

a = 5.101 Å, b = 5.101 Å, c = 5.101 Å
α = 60.00°, β = 60.00°, γ = 60.00°
Positions (direct):
Sb: 0.000 0.000 0.000
Hg: 0.500 0.500 0.500
Se: 0.250 0.250 0.250
Se: 0.750 0.750 0.750


Entry 5:
Nb3PdI: optimized geometry, GGA-PBE.

a = 4.944 Å, b = 4.944 Å, c = 4.944 Å
α = 90.00°, β = 90.00°, γ = 90.00°
Positions (direct):
I: 0.500 0.500 0.500
Nb: 0.000 0.500 0.000
Nb: 0.000 0.000 0.500
Nb: 0.500 0.000 0.000
Pd: 0.000 0.000 0.000


Entry 6:
TaNiIr: optimized geometry, GGA-PBE.

a = 7.229 Å, b = 7.254 Å, c = 7.254 Å
α = 62.19°, β = 60.11°, γ = 60.11°
Positions (direct):
Ir: 0.263 0.923 0.423
Ir: 0.609 0.077 0.577
Ir: 0.764 0.551 0.051
Ir: 0.366 0.449 0.949
Ir: 0.841 0.295 0.795
Ir: 0.931 0.705 0.205
Ni: 0.458 0.500 0.500
Ni: 0.458 0.000 0.000
Ni: 0.225 0.945 0.819
Ni: 0.989 0.055 0.181
Ni: 0.989 0.681 0.555
Ni: 0.225 0.319 0.445
Ta: 0.325 0.676 0.176
Ta: 0.178 0.324 0.824
Ta: 0.599 0.700 0.604
Ta: 0.903 0.300 0.396
Ta: 0.903 0.896 0.800
Ta: 0.599 0.104 0.200

E_form, eV per atom: -0.27


Entry 7:
InGa2SBr: optimized geometry, GGA-PBE.

a = 5.598 Å, b = 5.954 Å, c = 5.598 Å
α = 90.00°, β = 90.00°, γ = 90.00°
Positions (direct):
S: 0.500 0.500 0.500
Ga: 0.000 0.000 0.500
Ga: 0.500 0.000 0.000
Br: 0.000 0.000 0.000
In: 0.000 0.500 0.000


Entry 8:
Nd12InHg6: optimized geometry, GGA-PBE.

a = 9.215 Å, b = 9.215 Å, c = 9.215 Å
α = 111.07°, β = 111.07°, γ = 111.07°
Positions (direct):
Nd: 0.810 0.656 0.524
Nd: 0.524 0.810 0.656
Nd: 0.656 0.524 0.810
Nd: 0.190 0.344 0.476
Nd: 0.476 0.190 0.344
Nd: 0.344 0.476 0.190
Nd: 0.916 0.833 0.271
Nd: 0.167 0.729 0.084
Nd: 0.729 0.084 0.167
Nd: 0.084 0.167 0.729
Nd: 0.833 0.271 0.916
Nd: 0.271 0.916 0.833
In: 0.000 0.000 0.000
Hg: 0.644 0.926 0.411
Hg: 0.589 0.356 0.074
Hg: 0.074 0.589 0.356
Hg: 0.356 0.074 0.589
Hg: 0.411 0.644 0.926
Hg: 0.926 0.411 0.644

E_form, eV per atom: -0.25


Entry 9:
Y2B4Mo: optimized geometry, GGA-PBE.

a = 4.115 Å, b = 4.115 Å, c = 7.161 Å
α = 73.30°, β = 73.30°, γ = 90.00°
Positions (direct):
Y: 0.642 0.642 0.716
Y: 0.358 0.358 0.284
Mo: 0.000 0.000 0.000
B: 0.839 0.839 0.323
B: 0.161 0.161 0.677
B: 0.000 0.500 0.000
B: 0.500 0.000 0.000

E_form, eV per atom: 0.15


Entry 10:
SnHg2Se2S: optimized geometry, GGA-PBE.

a = 6.947 Å, b = 8.664 Å, c = 7.667 Å
α = 124.41°, β = 90.00°, γ = 90.00°
Positions (direct):
Sn: 0.293 0.826 0.000
Sn: 0.793 0.174 0.000
Hg: 0.810 0.831 0.331
Hg: 0.810 0.500 0.669
Hg: 0.310 0.500 0.331
Hg: 0.310 0.169 0.669
Se: 0.198 0.814 0.346
Se: 0.198 0.468 0.654
Se: 0.698 0.186 0.654
Se: 0.698 0.532 0.346
S: 0.663 0.786 0.000
S: 0.163 0.214 0.000


Entry 11:
Li2ZnCr2: optimized geometry, GGA-PBE.

a = 7.206 Å, b = 7.206 Å, c = 2.686 Å
α = 90.00°, β = 90.00°, γ = 90.00°
Positions (direct):
Cr: 0.092 0.592 0.500
Cr: 0.592 0.908 0.500
Cr: 0.908 0.408 0.500
Cr: 0.408 0.092 0.500
Zn: 0.000 0.000 0.000
Zn: 0.500 0.500 0.000
Li: 0.301 0.801 0.000
Li: 0.801 0.699 0.000
Li: 0.699 0.199 0.000
Li: 0.199 0.301 0.000

E_form, eV per atom: 0.58


Entry 12:
Ho7TlCd4: optimized geometry, GGA-PBE.

a = 5.754 Å, b = 8.849 Å, c = 7.861 Å
α = 67.61°, β = 68.53°, γ = 71.03°
Positions (direct):
Ho: 0.810 0.876 0.504
Ho: 0.190 0.124 0.496
Ho: 0.075 0.583 0.266
Ho: 0.925 0.417 0.734
Ho: 0.257 0.708 0.778
Ho: 0.500 0.000 0.000
Ho: 0.743 0.292 0.222
Tl: 0.000 0.000 0.000
Cd: 0.534 0.311 0.620
Cd: 0.466 0.689 0.380
Cd: 0.685 0.655 0.974
Cd: 0.315 0.345 0.026

E_form, eV per atom: -0.08


no.,total magnetization (μB per formula unit),electronic total energy (eV per atom)
1,0.00,-3.469
2,0.00,-7.282
3,0.00,-4.331
4,0.00,-2.722
5,0.00,-6.093
6,0.00,-9.100
7,0.00,-2.537
8,0.00,-3.504
9,0.00,-7.061
10,0.00,-2.813
11,0.00,-4.286
12,0.00,-3.256